{"formula": "Na4Ac3PdO8", "functional": "PBE", "state": "optimized geometry", "e_form_raw_ev_per_fu": -32.9, "sg": "No. 12", "total_magnetization_mub_per_atom": 0.0666, "dft_energy_ev_per_cell": -95.32, "lattice_angstrom": [[6.607, -3.524, 0.000], [6.607, 3.524, 0.000], [-3.308, 0.000, 5.939]], "species": ["Na", "Na", "Na", "Na", "Ac", "Ac", "Ac", "Pd", "O", "O", "O", "O", "O", "O", "O", "O"], "fractional_positions": [[0.000, 0.000, 0.000], [0.000, 0.500, 0.500], [0.500, 0.000, 0.500], [0.500, 0.500, 0.000], [0.000, 0.000, 0.500], [0.000, 0.500, 0.000], [0.500, 0.000, 0.000], [0.500, 0.500, 0.500], [0.195, 0.195, 0.181], [0.218, 0.218, 0.716], [0.264, 0.679, 0.265], [0.321, 0.736, 0.735], [0.679, 0.264, 0.265], [0.736, 0.321, 0.735], [0.782, 0.782, 0.284], [0.805, 0.805, 0.819]]}



{"formula": "Nd3Ga8Ru3", "functional": "PBE", "state": "optimized geometry", "sg": "No. 71", "formation_energy_ev_per_fu": -7.405, "total_magnetization_mub_per_atom": 0.0000, "dft_energy_ev_per_cell": -73.75, "lattice_angstrom": [[-2.141, 4.935, 6.354], [2.141, -4.935, 6.354], [2.141, 4.935, -6.354]], "species": ["Nd", "Nd", "Nd", "Ga", "Ga", "Ga", "Ga", "Ga", "Ga", "Ga", "Ga", "Ru", "Ru", "Ru"], "fractional_positions": [[0.000, 0.000, 0.000], [0.329, 0.329, 0.000], [0.671, 0.671, 0.000], [0.033, 0.670, 0.363], [0.168, 0.882, 0.286], [0.307, 0.670, 0.637], [0.404, 0.118, 0.286], [0.596, 0.882, 0.714], [0.693, 0.330, 0.363], [0.832, 0.118, 0.714], [0.967, 0.330, 0.637], [0.273, 0.500, 0.773], [0.500, 0.000, 0.500], [0.727, 0.500, 0.227]]}



{"formula": "CrTe2HI", "functional": "PBE", "state": "optimized geometry", "sg": "No. 123", "total_magnetization_mub_per_atom": 0.0003, "polymorph_energy_mev_per_atom": 341, "dft_energy_ev_per_cell": -16.72, "lattice_angstrom": [[4.959, 0.000, 0.000], [0.000, 4.959, 0.000], [0.000, 0.000, 5.739]], "species": ["Cr", "Te", "Te", "H", "I"], "fractional_positions": [[0.000, 0.000, 0.000], [0.000, 0.500, 0.000], [0.500, 0.000, 0.000], [0.500, 0.500, 0.500], [0.000, 0.000, 0.500]]}